Computed, not measured: crystalline Pm6HoTm2Mg at its relaxed geometry at the PBE level of DFT.

Calculated values
uncorrected energy	-4.241	eV per atom
symmetry	C2/c

Cell: 8.901 8.901 9.258 Å, 92.51 92.51 117.21°
Positions (direct):
Pm (0.005, 0.437, 0.801)
Pm (0.128, 0.778, 0.552)
Pm (0.222, 0.872, 0.948)
Pm (0.286, 0.507, 0.395)
Pm (0.437, 0.005, 0.301)
Pm (0.493, 0.714, 0.105)
Pm (0.507, 0.286, 0.895)
Pm (0.563, 0.995, 0.699)
Pm (0.714, 0.493, 0.605)
Pm (0.778, 0.128, 0.052)
Pm (0.872, 0.222, 0.448)
Pm (0.995, 0.563, 0.199)
Ho (0.027, 0.973, 0.250)
Ho (0.973, 0.027, 0.750)
Tm (0.205, 0.310, 0.052)
Tm (0.310, 0.205, 0.552)
Tm (0.690, 0.795, 0.448)
Tm (0.795, 0.690, 0.948)
Mg (0.419, 0.581, 0.750)
Mg (0.581, 0.419, 0.250)